1.
DFT (PBE) results for an optimized crystal structure of Nd13Ir2.

Calculated values
Density of states at the Fermi level: 20.10 states/eV per cell
Total magnetization: 0.0 μB per formula unit
Formation enthalpy at 0 K: -0.156 eV per atom
VASP energy: -82.045 eV for the cell shown

a b c (Å): 6.805 8.340 9.599
angles (deg): 66.05 84.90 81.28
Space group P-1 (No. 2)
Symmetry-distinct sites (fractional):
Nd1 0.000 0.000 0.000 [1 per cell]
Nd2 0.015 0.188 0.333 [2 per cell]
Nd3 0.168 0.648 0.369 [2 per cell]
Nd4 0.234 0.556 0.039 [2 per cell]
Nd5 0.299 0.365 0.770 [2 per cell]
Nd6 0.474 0.080 0.149 [2 per cell]
Nd7 0.494 0.225 0.449 [2 per cell]
Ir1 0.180 0.098 0.674 [2 per cell]

2.
DFT (PBE) results for an optimized crystal structure of Nd4Ir.

Calculated values
Density of states at the Fermi level: 55.22 states/eV per cell
Total magnetization: 0.0 μB per formula unit
Formation enthalpy at 0 K: 0.128 eV per atom
VASP energy: -218.327 eV for the cell shown

a b c (Å): 11.228 11.228 11.228
angles (deg): 90.00 90.00 90.00
Space group Fd-3m (No. 227, origin choice 2)
Symmetry-distinct sites (fractional):
Nd1 0.013 0.013 0.237 [32 per cell]
Ir1 0.125 0.125 0.625 [8 per cell]

3.
DFT (PBE) results for an optimized crystal structure of Nd4Ir.

Calculated values
Density of states at the Fermi level: 23.12 states/eV per cell
Total magnetization: 0.0 μB per formula unit
Formation enthalpy at 0 K: -0.317 eV per atom
VASP energy: -118.071 eV for the cell shown

a b c (Å): 8.847 8.847 8.446
angles (deg): 90.00 90.00 90.00
Space group I4_1/amd (No. 141, origin choice 2)
Symmetry-distinct sites (fractional):
Nd1 0.000 0.052 0.207 [16 per cell]
Ir1 0.000 0.250 0.875 [4 per cell]

4.
DFT (PBE) results for an optimized crystal structure of NdNiIr.

Calculated values
Density of states at the Fermi level: 11.47 states/eV per cell
Total magnetization: 0.0 μB per formula unit
Formation enthalpy at 0 K: -0.230 eV per atom
VASP energy: -80.395 eV for the cell shown

a b c (Å): 4.999 7.817 5.654
angles (deg): 90.00 90.00 90.00
Space group Cmcm (No. 63)
Symmetry-distinct sites (fractional):
Nd1 0.000 0.157 0.250 [4 per cell]
Ni1 0.000 0.210 0.750 [4 per cell]
Ir1 0.000 0.500 0.000 [4 per cell]

5.
DFT (PBE) results for an optimized crystal structure of Nd8NiIr2.

Calculated values
Density of states at the Fermi level: 26.47 states/eV per cell
Total magnetization: 0.0 μB per formula unit
Formation enthalpy at 0 K: -0.301 eV per atom
VASP energy: -129.906 eV for the cell shown

a b c (Å): 17.795 5.025 7.017
angles (deg): 90.00 99.63 90.00
Space group C2/m (No. 12)
Symmetry-distinct sites (fractional):
Nd1 0.036 0.000 0.281 [4 per cell]
Nd2 0.089 0.500 0.943 [4 per cell]
Nd3 0.165 0.500 0.466 [4 per cell]
Nd4 0.203 0.000 0.834 [4 per cell]
Ni1 0.000 0.500 0.500 [2 per cell]
Ir1 0.203 0.000 0.239 [4 per cell]

6.
DFT (PBE) results for an optimized crystal structure of Nd8NiIr2.

Calculated values
Density of states at the Fermi level: 20.04 states/eV per cell
Total magnetization: 0.0 μB per formula unit
Formation enthalpy at 0 K: -0.258 eV per atom
VASP energy: -128.969 eV for the cell shown

a b c (Å): 8.632 12.477 6.441
angles (deg): 90.00 109.97 90.00
Space group Cm (No. 8)
Symmetry-distinct sites (fractional):
Nd1 0.000 0.000 0.000 [2 per cell]
Nd2 0.072 0.365 0.834 [4 per cell]
Nd3 0.143 0.134 0.585 [4 per cell]
Nd4 0.215 0.500 0.401 [2 per cell]
Nd5 0.362 0.197 0.203 [4 per cell]
Ni1 0.352 0.000 0.991 [2 per cell]
Ir1 0.355 0.315 0.701 [4 per cell]

7.
DFT (PBE) results for an optimized crystal structure of NdNi4Ir.

Calculated values
Density of states at the Fermi level: 67.20 states/eV per cell
Total magnetization: 2.3 μB per formula unit
Formation enthalpy at 0 K: 1.980 eV per atom
VASP energy: -99.498 eV for the cell shown

a b c (Å): 8.477 8.477 8.477
angles (deg): 90.00 90.00 90.00
Space group F-43m (No. 216)
Symmetry-distinct sites (fractional):
Nd1 0.000 0.000 0.000 [4 per cell]
Ni1 0.156 0.156 0.844 [16 per cell]
Ir1 0.250 0.250 0.250 [4 per cell]

8.
DFT (PBE) results for an optimized crystal structure of Nd2Ni2Ir.

Calculated values
Density of states at the Fermi level: 14.92 states/eV per cell
Total magnetization: 0.0 μB per formula unit
Formation enthalpy at 0 K: -0.441 eV per atom
VASP energy: -128.658 eV for the cell shown

a b c (Å): 8.965 5.437 8.204
angles (deg): 90.00 103.03 90.00
Space group C2/c (No. 15)
Symmetry-distinct sites (fractional):
Nd1 0.151 0.122 0.154 [8 per cell]
Ni1 0.124 0.379 0.498 [8 per cell]
Ir1 0.000 0.349 0.750 [4 per cell]

9.
DFT (PBE) results for an optimized crystal structure of NdNi3Ir.

Calculated values
Density of states at the Fermi level: 29.88 states/eV per cell
Total magnetization: 0.0 μB per formula unit
Formation enthalpy at 0 K: 0.090 eV per atom
VASP energy: -122.091 eV for the cell shown

a b c (Å): 4.700 16.434 4.359
angles (deg): 90.00 90.00 90.00
Space group Cmcm (No. 63)
Symmetry-distinct sites (fractional):
Nd1 0.000 0.088 0.250 [4 per cell]
Ni1 0.000 0.500 0.000 [4 per cell]
Ni2 0.235 0.273 0.750 [8 per cell]
Ir1 0.000 0.360 0.250 [4 per cell]

10.
DFT (PBE) results for an optimized crystal structure of NdNi2Ir2.

Calculated values
Density of states at the Fermi level: 23.32 states/eV per cell
Total magnetization: 0.0 μB per formula unit
Formation enthalpy at 0 K: -0.184 eV per atom
VASP energy: -139.887 eV for the cell shown

a b c (Å): 4.194 4.194 19.533
angles (deg): 90.00 90.00 90.00
Space group I4/mmm (No. 139)
Symmetry-distinct sites (fractional):
Nd1 0.000 0.000 0.120 [4 per cell]
Ni1 0.000 0.000 0.432 [4 per cell]
Ni2 0.000 0.500 0.250 [4 per cell]
Ir1 0.000 0.000 0.312 [4 per cell]
Ir2 0.000 0.500 0.000 [4 per cell]

11.
DFT (PBE) results for an optimized crystal structure of Nd3Ni4Ir4.

Calculated values
Density of states at the Fermi level: 24.99 states/eV per cell
Total magnetization: 0.0 μB per formula unit
Formation enthalpy at 0 K: -0.217 eV per atom
VASP energy: -150.527 eV for the cell shown

a b c (Å): 7.528 7.528 7.528
angles (deg): 90.00 90.00 90.00
Space group I-43m (No. 217)
Symmetry-distinct sites (fractional):
Nd1 0.000 0.000 0.500 [6 per cell]
Ni1 0.199 0.199 0.801 [8 per cell]
Ir1 0.124 0.124 0.124 [8 per cell]

12.
DFT (PBE) results for an optimized crystal structure of NdNi3Ir2.

Calculated values
Density of states at the Fermi level: 45.17 states/eV per cell
Total magnetization: 0.0 μB per formula unit
Formation enthalpy at 0 K: -0.045 eV per atom
VASP energy: -240.636 eV for the cell shown

a b c (Å): 5.5467 5.5467 20.3225
angles (deg): 90.00 90.00 120.00
Space group R-3m (No. 166, hexagonal axes)
Symmetry-distinct sites (fractional):
Nd1 0.0000 0.0000 0.2131 [6 per cell]
Ni1 0.0311 0.5155 0.2294 [18 per cell]
Ir1 0.0000 0.0000 0.0000 [3 per cell]
Ir2 0.0000 0.5000 0.0000 [9 per cell]

13.
DFT (PBE) results for an optimized crystal structure of Nd2NiIr.

Calculated values
Density of states at the Fermi level: 1.62 states/eV per cell
Total magnetization: 0.0 μB per formula unit
Formation enthalpy at 0 K: -0.420 eV per atom
VASP energy: -25.860 eV for the cell shown

a b c (Å): 4.946 4.946 3.587
angles (deg): 90.00 90.00 90.00
Space group P4/mmm (No. 123)
Symmetry-distinct sites (fractional):
Nd1 0.000 0.500 0.000 [2 per cell]
Ni1 0.000 0.000 0.500 [1 per cell]
Ir1 0.500 0.500 0.500 [1 per cell]

14.
DFT (PBE) results for an optimized crystal structure of NdNi4Ir.

Calculated values
Density of states at the Fermi level: 39.99 states/eV per cell
Total magnetization: 2.0 μB per formula unit
Formation enthalpy at 0 K: -0.108 eV per atom
VASP energy: -149.619 eV for the cell shown

a b c (Å): 6.993 6.993 6.993
angles (deg): 90.00 90.00 90.00
Space group F-43m (No. 216)
Symmetry-distinct sites (fractional):
Nd1 0.000 0.000 0.000 [4 per cell]
Ni1 0.123 0.123 0.377 [16 per cell]
Ir1 0.250 0.250 0.750 [4 per cell]

15.
DFT (PBE) results for an optimized crystal structure of Nd2Ni3Ir.

Calculated values
Density of states at the Fermi level: 13.31 states/eV per cell
Total magnetization: 0.0 μB per formula unit
Formation enthalpy at 0 K: -0.069 eV per atom
VASP energy: -72.314 eV for the cell shown

a b c (Å): 4.389 5.223 10.022
angles (deg): 90.00 90.00 90.00
Space group Immm (No. 71)
Symmetry-distinct sites (fractional):
Nd1 0.000 0.000 0.184 [4 per cell]
Ni1 0.000 0.500 0.116 [4 per cell]
Ni2 0.000 0.500 0.500 [2 per cell]
Ir1 0.000 0.000 0.500 [2 per cell]

16.
DFT (PBE) results for an optimized crystal structure of NdNi3Ir2.

Calculated values
Density of states at the Fermi level: 27.58 states/eV per cell
Total magnetization: 0.0 μB per formula unit
Formation enthalpy at 0 K: -0.250 eV per atom
VASP energy: -165.338 eV for the cell shown

a b c (Å): 9.378 8.252 5.116
angles (deg): 90.00 90.00 90.00
Space group Cmcm (No. 63)
Symmetry-distinct sites (fractional):
Nd1 0.000 0.197 0.250 [4 per cell]
Ni1 0.000 0.438 0.750 [4 per cell]
Ni2 0.189 0.236 0.750 [8 per cell]
Ir1 0.224 0.500 0.000 [8 per cell]

17.
DFT (PBE) results for an optimized crystal structure of Nd3NiIr2.

Calculated values
Density of states at the Fermi level: 21.37 states/eV per cell
Total magnetization: 0.0 μB per formula unit
Formation enthalpy at 0 K: -0.558 eV per atom
VASP energy: -164.612 eV for the cell shown

a b c (Å): 11.590 4.171 11.623
angles (deg): 90.00 90.00 90.00
Space group Pnma (No. 62)
Symmetry-distinct sites (fractional):
Nd1 0.053 0.250 0.123 [4 per cell]
Nd2 0.120 0.750 0.559 [4 per cell]
Nd3 0.207 0.250 0.807 [4 per cell]
Ni1 0.127 0.250 0.370 [4 per cell]
Ir1 0.020 0.750 0.314 [4 per cell]
Ir2 0.186 0.750 0.990 [4 per cell]

18.
DFT (PBE) results for an optimized crystal structure of NdNiIr.

Calculated values
Density of states at the Fermi level: 2.14 states/eV per cell
Total magnetization: 0.0 μB per formula unit
Formation enthalpy at 0 K: -0.476 eV per atom
VASP energy: -20.839 eV for the cell shown

a b c (Å): 4.1643 4.1643 4.0012
angles (deg): 90.00 90.00 120.00
Space group P-6m2 (No. 187)
Symmetry-distinct sites (fractional):
Nd1 0.0000 0.0000 0.0000 [1 per cell]
Ni1 0.3333 0.6667 0.5000 [1 per cell]
Ir1 0.6667 0.3333 0.5000 [1 per cell]

19.
DFT (PBE) results for an optimized crystal structure of Nd6Ni2Ir.

Calculated values
Density of states at the Fermi level: 29.86 states/eV per cell
Total magnetization: 0.0 μB per formula unit
Formation enthalpy at 0 K: -0.294 eV per atom
VASP energy: -206.695 eV for the cell shown

a b c (Å): 9.639 9.833 9.966
angles (deg): 90.00 90.00 90.00
Space group Immm (No. 71)
Symmetry-distinct sites (fractional):
Nd1 0.000 0.241 0.179 [8 per cell]
Nd2 0.186 0.333 0.500 [8 per cell]
Nd3 0.236 0.000 0.329 [8 per cell]
Ni1 0.000 0.118 0.500 [4 per cell]
Ni2 0.000 0.500 0.320 [4 per cell]
Ir1 0.000 0.000 0.000 [2 per cell]
Ir2 0.000 0.500 0.000 [2 per cell]

20.
DFT (PBE) results for an optimized crystal structure of Nd3Ni3Ir.

Calculated values
Density of states at the Fermi level: 19.25 states/eV per cell
Total magnetization: 0.0 μB per formula unit
Formation enthalpy at 0 K: -0.397 eV per atom
VASP energy: -173.137 eV for the cell shown

a b c (Å): 4.335 9.878 13.267
angles (deg): 90.00 90.00 90.00
Space group Cmcm (No. 63)
Symmetry-distinct sites (fractional):
Nd1 0.000 0.020 0.250 [4 per cell]
Nd2 0.000 0.272 0.601 [8 per cell]
Ni1 0.000 0.317 0.250 [4 per cell]
Ni2 0.000 0.438 0.086 [8 per cell]
Ir1 0.000 0.000 0.000 [4 per cell]

21.
DFT (PBE) results for an optimized crystal structure of Nd2Ni3Ir.

Calculated values
Density of states at the Fermi level: 16.92 states/eV per cell
Total magnetization: 0.0 μB per formula unit
Formation enthalpy at 0 K: -0.433 eV per atom
VASP energy: -115.016 eV for the cell shown

a b c (Å): 5.2069 5.2069 13.0343
angles (deg): 90.00 90.00 120.00
Space group R-3m (No. 166, hexagonal axes)
Symmetry-distinct sites (fractional):
Nd1 0.0000 0.0000 0.1245 [6 per cell]
Ni1 0.0000 0.5000 0.0000 [9 per cell]
Ir1 0.0000 0.0000 0.5000 [3 per cell]

22.
DFT (PBE) results for an optimized crystal structure of Nd2NiIr.

Calculated values
Density of states at the Fermi level: 5.18 states/eV per cell
Total magnetization: 0.0 μB per formula unit
Formation enthalpy at 0 K: -0.523 eV per atom
VASP energy: -52.542 eV for the cell shown

a b c (Å): 5.839 4.161 8.034
angles (deg): 90.00 110.20 90.00
Space group P2_1/m (No. 11)
Symmetry-distinct sites (fractional):
Nd1 0.216 0.250 0.432 [2 per cell]
Nd2 0.219 0.250 0.927 [2 per cell]
Ni1 0.354 0.750 0.212 [2 per cell]
Ir1 0.353 0.750 0.715 [2 per cell]